# 1
A plane-wave DFT calculation with PBE was carried out for Sm3BiAu after structural relaxation.

Results
As for the raw total energy: -4.7943 eV/atom. The magnetic moment is 0.0001 μB/atom.

a = 5.1527 Å, b = 15.4174 Å, c = 15.6833 Å
α = 90.00°, β = 90.00°, γ = 90.00°
Space group Imma (No. 74)
Unique sites:
Sm 0.0000 0.1301 0.1683 (multiplicity 8)
Sm 0.0000 0.1365 0.4960 (multiplicity 8)
Sm 0.0000 0.1364 0.8331 (multiplicity 8)
Bi 0.0000 0.0071 0.6553 (multiplicity 8)
Au 0.0000 0.2500 0.3307 (multiplicity 4)
Au 0.0000 0.2500 0.9977 (multiplicity 4)



# 2
A plane-wave DFT calculation with PBE was carried out for Sm8Bi2Au after structural relaxation.

Results
As for the raw total energy: -4.8323 eV/atom. The magnetic moment is 0.0000 μB/atom.

a = 19.3681 Å, b = 4.9553 Å, c = 7.3339 Å
α = 90.00°, β = 97.62°, γ = 90.00°
Space group C2/m (No. 12)
Unique sites:
Sm 0.0038 0.0000 0.2671 (multiplicity 4)
Sm 0.0939 0.5000 0.0056 (multiplicity 4)
Sm 0.1522 0.5000 0.5416 (multiplicity 4)
Sm 0.2148 0.0000 0.8527 (multiplicity 4)
Bi 0.1805 0.0000 0.2815 (multiplicity 4)
Au 0.0000 0.5000 0.5000 (multiplicity 2)



Number 1: density of states at the Fermi level 36.9 states/eV per cell. Number 2: density of states at the Fermi level 25.2 states/eV per cell.